Arrangement P

{"formula": "LaFeRe2", "functional": "PBE", "state": "optimized geometry", "sg": "Fm-3m (225)", "lattice_angstrom": [[0.000, 3.218, 3.218], [3.218, 0.000, 3.218], [3.218, 3.218, 0.000]], "species": ["La", "Fe", "Re", "Re"], "frac_coords": [[0.000, 0.000, 0.000], [0.500, 0.500, 0.500], [0.250, 0.250, 0.250], [0.750, 0.750, 0.750]]}



Arrangement Q

{"formula": "LaFeRe2", "functional": "PBE", "state": "optimized geometry", "sg": "R-3m (166)", "lattice_angstrom": [[1.410, 0.814, 9.868], [-1.410, 0.814, 9.868], [0.000, -1.628, 9.868]], "species": ["La", "Fe", "Re", "Re"], "frac_coords": [[0.000, 0.000, 0.000], [0.500, 0.500, 0.500], [0.235, 0.235, 0.235], [0.765, 0.765, 0.765]]}



arrangement Q has the most favorable energy; the next structure is 0.297 eV/atom above.



Arrangement P

{"formula": "LaFeRe2", "functional": "PBE", "state": "optimized geometry", "sg": "Pm (6)", "lattice_angstrom": [[2.875, 0.000, 0.000], [0.000, 4.067, 0.000], [-1.328, 0.000, 6.459]], "species": ["La", "Fe", "Re", "Re"], "frac_coords": [[0.000, 0.000, 0.000], [0.214, 0.500, 0.683], [0.495, 0.000, 0.502], [0.758, 0.500, 0.330]]}



Arrangement Q

{"formula": "LaFeRe2", "functional": "PBE", "state": "optimized geometry", "sg": "C2/m (12)", "lattice_angstrom": [[5.234, -1.420, 0.000], [5.234, 1.420, 0.000], [-1.274, 0.000, 4.583]], "species": ["La", "Fe", "Re", "Re"], "frac_coords": [[0.000, 0.000, 0.000], [0.500, 0.500, 0.500], [0.213, 0.213, 0.704], [0.787, 0.787, 0.296]]}



Arrangement R

{"formula": "LaFeRe2", "functional": "PBE", "state": "optimized geometry", "sg": "Cmmm (65)", "lattice_angstrom": [[2.457, -3.582, 0.000], [2.457, 3.582, 0.000], [0.000, 0.000, 4.435]], "species": ["La", "Fe", "Re", "Re"], "frac_coords": [[0.000, 0.000, 0.000], [0.500, 0.500, 0.000], [0.326, 0.674, 0.500], [0.674, 0.326, 0.500]]}



arrangement P has the most favorable energy; the next structure is 0.045 eV/atom above.



Arrangement P

{"formula": "LaFeRe2", "functional": "PBE", "state": "optimized geometry", "sg": "F-43m (216)", "lattice_angstrom": [[0.000, 3.264, 3.264], [3.264, 0.000, 3.264], [3.264, 3.264, 0.000]], "species": ["La", "Fe", "Re", "Re"], "frac_coords": [[0.000, 0.000, 0.000], [0.250, 0.250, 0.250], [0.500, 0.500, 0.500], [0.750, 0.750, 0.750]]}



Arrangement Q

{"formula": "LaFeRe2", "functional": "PBE", "state": "optimized geometry", "sg": "I4/mmm (139)", "lattice_angstrom": [[-1.899, 1.899, 5.063], [1.899, -1.899, 5.063], [1.899, 1.899, -5.063]], "species": ["La", "Fe", "Re", "Re"], "frac_coords": [[0.000, 0.000, 0.000], [0.500, 0.500, 0.000], [0.250, 0.750, 0.500], [0.750, 0.250, 0.500]]}



Arrangement R

{"formula": "LaFeRe2", "functional": "PBE", "state": "optimized geometry", "sg": "P4/mmm (123)", "lattice_angstrom": [[2.815, 0.000, 0.000], [0.000, 2.815, 0.000], [0.000, 0.000, 8.595]], "species": ["La", "Fe", "Re", "Re"], "frac_coords": [[0.000, 0.000, 0.000], [0.000, 0.000, 0.500], [0.500, 0.500, 0.308], [0.500, 0.500, 0.692]]}



Arrangement S

{"formula": "LaFeRe2", "functional": "PBE", "state": "optimized geometry", "sg": "Cmmm (65)", "lattice_angstrom": [[2.622, -4.953, 0.000], [2.622, 4.953, 0.000], [0.000, 0.000, 2.736]], "species": ["La", "Fe", "Re", "Re"], "frac_coords": [[0.000, 0.000, 0.000], [0.500, 0.500, 0.000], [0.000, 0.500, 0.500], [0.500, 0.000, 0.500]]}



arrangement R has the most favorable energy; the next structure is 0.092 eV/atom above.



Arrangement P

{"formula": "LaFeRe", "functional": "PBE", "state": "optimized geometry", "sg": "I4mm (107)", "lattice_angstrom": [[-1.519, 1.519, 6.054], [1.519, -1.519, 6.054], [1.519, 1.519, -6.054]], "species": ["La", "Fe", "Re"], "frac_coords": [[0.000, 0.000, 0.000], [0.698, 0.698, 0.000], [0.296, 0.296, 0.000]]}



Arrangement Q

{"formula": "LaFeRe", "functional": "PBE", "state": "optimized geometry", "sg": "P3m1 (156)", "lattice_angstrom": [[2.957, 0.000, 0.000], [-1.478, 2.561, 0.000], [0.000, 0.000, 7.382]], "species": ["La", "Fe", "Re"], "frac_coords": [[0.000, 0.000, 0.000], [0.667, 0.333, 0.628], [0.333, 0.667, 0.384]]}



arrangement P has the most favorable energy; the next structure is 0.380 eV/atom above.



Arrangement P

{"formula": "LaFe2Re", "functional": "PBE", "state": "optimized geometry", "sg": "P4mm (99)", "lattice_angstrom": [[3.015, 0.000, 0.000], [0.000, 3.015, 0.000], [0.000, 0.000, 7.437]], "species": ["La", "Fe", "Fe", "Re"], "frac_coords": [[0.000, 0.000, 0.000], [0.000, 0.000, 0.516], [0.500, 0.500, 0.686], [0.500, 0.500, 0.332]]}



Arrangement Q

{"formula": "LaFe2Re", "functional": "PBE", "state": "optimized geometry", "sg": "F-43m (216)", "lattice_angstrom": [[0.000, 3.214, 3.214], [3.214, 0.000, 3.214], [3.214, 3.214, 0.000]], "species": ["La", "Fe", "Fe", "Re"], "frac_coords": [[0.000, 0.000, 0.000], [0.500, 0.500, 0.500], [0.750, 0.750, 0.750], [0.250, 0.250, 0.250]]}



arrangement P has the most favorable energy; the next structure is 0.358 eV/atom above.



Arrangement P

{"formula": "LaFe2Re", "functional": "PBE", "state": "optimized geometry", "sg": "Pmmm (47)", "lattice_angstrom": [[2.981, 0.000, 0.000], [0.000, 2.995, 0.000], [0.000, 0.000, 7.300]], "species": ["La", "Fe", "Fe", "Re"], "frac_coords": [[0.000, 0.000, 0.000], [0.500, 0.500, 0.315], [0.500, 0.500, 0.685], [0.000, 0.000, 0.500]]}



Arrangement Q

{"formula": "LaFe2Re", "functional": "PBE", "state": "optimized geometry", "sg": "R-3m (166)", "lattice_angstrom": [[1.462, 0.844, 9.191], [-1.462, 0.844, 9.191], [0.000, -1.689, 9.191]], "species": ["La", "Fe", "Fe", "Re"], "frac_coords": [[0.000, 0.000, 0.000], [0.236, 0.236, 0.236], [0.764, 0.764, 0.764], [0.500, 0.500, 0.500]]}



arrangement P has the most favorable energy; the next structure is 0.382 eV/atom above.



Arrangement P

{"formula": "LaFe2Re2", "functional": "PBE", "state": "optimized geometry", "sg": "I4/mmm (139)", "lattice_angstrom": [[-2.123, 2.123, 4.936], [2.123, -2.123, 4.936], [2.123, 2.123, -4.936]], "species": ["La", "Fe", "Fe", "Re", "Re"], "frac_coords": [[0.000, 0.000, 0.000], [0.361, 0.361, 0.000], [0.639, 0.639, 0.000], [0.250, 0.750, 0.500], [0.750, 0.250, 0.500]]}



Arrangement Q

{"formula": "LaFe2Re2", "functional": "PBE", "state": "optimized geometry", "sg": "I4/mmm (139)", "lattice_angstrom": [[-2.080, 2.080, 5.090], [2.080, -2.080, 5.090], [2.080, 2.080, -5.090]], "species": ["La", "Fe", "Fe", "Re", "Re"], "frac_coords": [[0.000, 0.000, 0.000], [0.250, 0.750, 0.500], [0.750, 0.250, 0.500], [0.373, 0.373, 0.000], [0.627, 0.627, 0.000]]}



arrangement P has the most favorable energy; the next structure is 0.103 eV/atom above.



Arrangement P

{"formula": "LaFeRh2", "functional": "PBE", "state": "optimized geometry", "sg": "I-4m2 (119)", "lattice_angstrom": [[-2.029, 2.029, 4.298], [2.029, -2.029, 4.298], [2.029, 2.029, -4.298]], "species": ["La", "Fe", "Rh", "Rh"], "frac_coords": [[0.000, 0.000, 0.000], [0.750, 0.250, 0.500], [0.250, 0.750, 0.500], [0.500, 0.500, 0.000]]}



Arrangement Q

{"formula": "LaFeRh2", "functional": "PBE", "state": "optimized geometry", "sg": "R-3m (166)", "lattice_angstrom": [[2.122, 1.225, 5.033], [-2.122, 1.225, 5.033], [0.000, -2.450, 5.033]], "species": ["La", "Fe", "Rh", "Rh"], "frac_coords": [[0.000, 0.000, 0.000], [0.500, 0.500, 0.500], [0.208, 0.208, 0.208], [0.792, 0.792, 0.792]]}



arrangement Q has the most favorable energy; the next structure is 0.233 eV/atom above.



Arrangement P

{"formula": "LaFeRh2", "functional": "PBE", "state": "optimized geometry", "sg": "Pm (6)", "lattice_angstrom": [[3.214, 0.000, 0.000], [0.000, 4.416, 0.000], [-1.065, 0.000, 5.229]], "species": ["La", "Fe", "Rh", "Rh"], "frac_coords": [[0.000, 0.000, 0.000], [0.195, 0.500, 0.572], [0.554, 0.500, 0.178], [0.596, 0.000, 0.511]]}



Arrangement Q

{"formula": "LaFeRh2", "functional": "PBE", "state": "optimized geometry", "sg": "F-43m (216)", "lattice_angstrom": [[0.000, 3.270, 3.270], [3.270, 0.000, 3.270], [3.270, 3.270, 0.000]], "species": ["La", "Fe", "Rh", "Rh"], "frac_coords": [[0.000, 0.000, 0.000], [0.750, 0.750, 0.750], [0.250, 0.250, 0.250], [0.500, 0.500, 0.500]]}



arrangement P has the most favorable energy; the next structure is 0.127 eV/atom above.



Arrangement P

{"formula": "LaFeRh2", "functional": "PBE", "state": "optimized geometry", "sg": "Cm (8)", "lattice_angstrom": [[3.651, -2.107, 0.000], [3.651, 2.107, 0.000], [-2.394, 0.000, 5.105]], "species": ["La", "Fe", "Rh", "Rh"], "frac_coords": [[0.000, 0.000, 0.000], [0.810, 0.810, 0.436], [0.209, 0.209, 0.635], [0.468, 0.468, 0.411]]}



Arrangement Q

{"formula": "LaFeRh2", "functional": "PBE", "state": "optimized geometry", "sg": "Pmm2 (25)", "lattice_angstrom": [[3.129, 0.000, 0.000], [0.000, 3.887, 0.000], [0.000, 0.000, 6.100]], "species": ["La", "Fe", "Rh", "Rh"], "frac_coords": [[0.000, 0.000, 0.000], [0.500, 0.500, 0.640], [0.000, 0.000, 0.514], [0.500, 0.500, 0.241]]}



arrangement P has the most favorable energy; the next structure is 0.194 eV/atom above.



Arrangement P

{"formula": "La2FeRh", "functional": "PBE", "state": "optimized geometry", "sg": "I-42d (122)", "lattice_angstrom": [[-3.763, 3.763, 3.218], [3.763, -3.763, 3.218], [3.763, 3.763, -3.218]], "species": ["La", "La", "La", "La", "Fe", "Fe", "Rh", "Rh"], "frac_coords": [[0.118, 0.125, 0.493], [0.375, 0.882, 0.007], [0.632, 0.625, 0.507], [0.875, 0.368, 0.993], [0.000, 0.000, 0.000], [0.750, 0.250, 0.500], [0.250, 0.750, 0.500], [0.500, 0.500, 0.000]]}



Arrangement Q

{"formula": "La2FeRh", "functional": "PBE", "state": "optimized geometry", "sg": "I-4m2 (119)", "lattice_angstrom": [[-2.055, 2.055, 5.385], [2.055, -2.055, 5.385], [2.055, 2.055, -5.385]], "species": ["La", "La", "Fe", "Rh"], "frac_coords": [[0.000, 0.000, 0.000], [0.750, 0.250, 0.500], [0.500, 0.500, 0.000], [0.250, 0.750, 0.500]]}



arrangement Q has the most favorable energy; the next structure is 0.111 eV/atom above.



Arrangement P

{"formula": "LaFeS2", "functional": "PBE", "state": "optimized geometry", "sg": "R-3m (166)", "lattice_angstrom": [[2.202, 1.271, 7.057], [-2.202, 1.271, 7.057], [0.000, -2.542, 7.057]], "species": ["La", "Fe", "S", "S"], "frac_coords": [[0.000, 0.000, 0.000], [0.500, 0.500, 0.500], [0.397, 0.397, 0.397], [0.603, 0.603, 0.603]]}



Arrangement Q

{"formula": "LaFeS2", "functional": "PBE", "state": "optimized geometry", "sg": "Fm-3m (225)", "lattice_angstrom": [[0.000, 3.370, 3.370], [3.370, 0.000, 3.370], [3.370, 3.370, 0.000]], "species": ["La", "Fe", "S", "S"], "frac_coords": [[0.000, 0.000, 0.000], [0.500, 0.500, 0.500], [0.250, 0.250, 0.250], [0.750, 0.750, 0.750]]}



arrangement Q has the most favorable energy; the next structure is 0.020 eV/atom above.



Arrangement P

{"formula": "LaFeSb2", "functional": "PBE", "state": "optimized geometry", "sg": "P4/mmm (123)", "lattice_angstrom": [[4.757, 0.000, 0.000], [0.000, 4.757, 0.000], [0.000, 0.000, 4.420]], "species": ["La", "Fe", "Sb", "Sb"], "frac_coords": [[0.000, 0.000, 0.000], [0.500, 0.500, 0.000], [0.000, 0.500, 0.500], [0.500, 0.000, 0.500]]}



Arrangement Q

{"formula": "LaFeSb2", "functional": "PBE", "state": "optimized geometry", "sg": "R3m (160)", "lattice_angstrom": [[2.107, 1.216, 6.368], [-2.107, 1.216, 6.368], [0.000, -2.433, 6.368]], "species": ["La", "Fe", "Sb", "Sb"], "frac_coords": [[0.000, 0.000, 0.000], [0.820, 0.820, 0.820], [0.216, 0.216, 0.216], [0.440, 0.440, 0.440]]}



Arrangement R

{"formula": "LaFeSb2", "functional": "PBE", "state": "optimized geometry", "sg": "Cmmm (65)", "lattice_angstrom": [[2.706, -4.297, 0.000], [2.706, 4.297, 0.000], [0.000, 0.000, 4.162]], "species": ["La", "Fe", "Sb", "Sb"], "frac_coords": [[0.000, 0.000, 0.000], [0.500, 0.500, 0.000], [0.323, 0.677, 0.500], [0.677, 0.323, 0.500]]}



Arrangement S

{"formula": "LaFeSb2", "functional": "PBE", "state": "optimized geometry", "sg": "I-4m2 (119)", "lattice_angstrom": [[-2.229, 2.229, 5.051], [2.229, -2.229, 5.051], [2.229, 2.229, -5.051]], "species": ["La", "Fe", "Sb", "Sb"], "frac_coords": [[0.000, 0.000, 0.000], [0.750, 0.250, 0.500], [0.250, 0.750, 0.500], [0.500, 0.500, 0.000]]}



arrangement Q has the most favorable energy; the next structure is 0.021 eV/atom above.